No. 1
Compound: InReAgO3
Source: the Open Quantum Materials Database
Functional: PBE-GGA
Structure: relaxed

Lattice parameters (Å, degrees): 10.3088 2.9284 10.4434 90.00 90.00 90.00
Last column: nearest neighbours and their distance in Å.
Space group Pnma (No. 62)
One atom of each set of equivalent atoms:
1 In 0.1996 0.2500 0.1233 (multiplicity 4)  3 O 2.14-2.35
2 Re 0.0216 0.7500 0.3980 (multiplicity 4)  6 O 1.96-2.12
3 Ag 0.0894 0.7500 0.9184 (multiplicity 4)  1 O 2.31
4 O 0.0848 0.7500 0.6968 (multiplicity 4)  2 Re 2.08, 1 Ag 2.31
5 O 0.1403 0.2500 0.4863 (multiplicity 4)  3 Re 2.06-2.12
6 O 0.1578 0.7500 0.2666 (multiplicity 4)  1 Re 1.96, 2 In 2.14

Calculated values
E_tot = -6.40 eV/atom
M_tot = 0.0 Bohr magnetons per cell

---

No. 2
Compound: ErTmGa2Fe4
Source: the Open Quantum Materials Database
Functional: PBE-GGA
Structure: relaxed

Lattice parameters (Å, degrees): 3.9269 4.9167 6.7711 90.00 90.00 90.00
Last column: nearest neighbours and their distance in Å.
Space group Pmm2 (No. 25)
One atom of each set of equivalent atoms:
1 Er 0.0000 0.0000 0.0000 (multiplicity 1)  3 Fe 2.78-2.87, 2 Ga 3.09
2 Tm 0.0000 0.5000 0.3734 (multiplicity 1)  3 Fe 2.76-2.86, 2 Ga 3.09
3 Ga 0.5000 0.0000 0.3518 (multiplicity 1)  4 Fe 2.54-2.57
4 Ga 0.5000 0.5000 0.0210 (multiplicity 1)  4 Fe 2.55-2.58
5 Fe 0.0000 0.0000 0.5899 (multiplicity 1)  4 Fe 2.41, 2 Ga 2.54
6 Fe 0.0000 0.5000 0.7815 (multiplicity 1)  4 Fe 2.40, 2 Ga 2.55
7 Fe 0.5000 0.2502 0.6858 (multiplicity 2)  6 Fe 2.40-2.46, 2 Ga 2.57-2.58

Calculated values
E_tot = -6.38 eV/atom
M_tot = 7.2 Bohr magnetons per cell
Excess energy over the best structure of this formula in the dataset = 0.0 kJ/mol of atoms

---

No. 3
Compound: Er2TmMoC3
Source: the Open Quantum Materials Database
Functional: PBE-GGA
Structure: relaxed

Lattice parameters (Å, degrees): 11.4885 3.4666 5.7836 90.00 104.08 90.00
Last column: nearest neighbours and their distance in Å.
Space group Cm (No. 8)
One atom of each set of equivalent atoms:
1 Er 0.0000 0.0000 0.0000 (multiplicity 2)  5 C 2.43-2.65
2 Er 0.2367 0.0000 0.7153 (multiplicity 2)  5 C 2.39-2.52
3 Tm 0.4824 0.0000 0.5059 (multiplicity 2)  4 C 2.33-2.43
4 Mo 0.2641 0.5000 0.2077 (multiplicity 2)  4 C 2.11-2.16
5 C 0.1248 0.5000 0.8921 (multiplicity 2)  1 Mo 2.11
6 C 0.3499 0.0000 0.1200 (multiplicity 2)  2 Mo 2.12
7 C 0.3597 0.5000 0.5778 (multiplicity 2)  1 Mo 2.16, 2 Tm 2.33

Calculated values
E_tot = -7.73 eV/atom
M_tot = 0.0 Bohr magnetons per cell

---

No. 4
Compound: BeTcPt2
Source: the Open Quantum Materials Database
Functional: PBE-GGA
Structure: relaxed

Lattice parameters (Å, degrees): 6.0768 6.0768 6.0768 90.00 90.00 90.00
Last column: nearest neighbours and their distance in Å.
Space group F-43m (No. 216)
One atom of each set of equivalent atoms:
1 Be 0.0000 0.0000 0.0000 (multiplicity 4)  4 Tc 2.63, 4 Pt 2.63
2 Tc 0.2500 0.2500 0.2500 (multiplicity 4)  4 Be 2.63, 4 Pt 2.63
3 Pt 0.0000 0.0000 0.5000 (multiplicity 4)  4 Tc 2.63, 4 Pt 2.63
4 Pt 0.2500 0.2500 0.7500 (multiplicity 4)  4 Be 2.63, 4 Pt 2.63

Calculated values
E_tot = -6.54 eV/atom
M_tot = 1.5 Bohr magnetons per cell

---

> E_tot of number 3 (Er2TmMoC3)?

-7.73 eV/atom